A relaxed Cu6Sn5 crystal. Source: the Alexandria database, functional PBE-GGA.

Cell and atoms, written as CIF:
```
data_Cu6Sn5
_chemical_formula_sum 'Cu24 Sn20'
_cell_length_a 11.1182
_cell_length_b 7.3906
_cell_length_c 9.9181
_cell_angle_alpha 90.00
_cell_angle_beta 98.60
_cell_angle_gamma 90.00
_space_group_name_H-M_alt 'C 1 2/c 1'
_space_group_IT_number 15
_space_group_name_Hall '-C 2yc'
loop_
_atom_site_label
_atom_site_type_symbol
_atom_site_fract_x
_atom_site_fract_y
_atom_site_fract_z
Cu1 Cu 0.0000 0.0000 0.0000
Cu2 Cu 0.0000 0.1597 0.2500
Cu3 Cu 0.1013 0.4714 0.2036
Cu4 Cu 0.1934 0.0049 0.8907
Sn1 Sn 0.0000 0.2006 0.7500
Sn2 Sn 0.1084 0.3366 0.4716
Sn3 Sn 0.2142 0.1548 0.1430
```

energy of formation from the pure elements = -0.0172 eV/atom
M_tot = 0.00 μB per cell
VASP energy = -179.12 eV/cell
volume = 806 Å³ per cell